This record from the Alexandria database describes a relaxed structure of Ba4Fe3PbO12. The functional is PBE with a Hubbard U.

```
20
Lattice="-4.116 4.116 4.116 4.116 -4.116 4.116 4.116 4.116 -4.116" Properties=species:S:1:pos:R:3 pbc="T T T"
Ba 2.058 2.058 -2.058
Ba 2.058 -2.058 2.058
Ba -2.058 2.058 2.058
Ba 2.058 2.058 2.058
Fe 4.116 0.000 0.000
Fe 0.000 4.116 0.000
Fe 0.000 0.000 4.116
Pb 0.000 0.000 0.000
O 2.163 0.000 0.000
O 6.068 0.000 0.000
O 4.116 2.058 0.000
O 4.116 0.000 2.058
O 0.000 2.163 0.000
O 0.000 0.000 2.163
O 2.058 4.116 0.000
O 2.058 0.000 4.116
O 0.000 6.068 0.000
O 0.000 0.000 6.068
O 0.000 4.116 2.058
O 0.000 2.058 4.116
```

Computed properties:
- E: -123.3 eV/cell
- Density of states at the Fermi level: 0.67 states/eV per atom